A plane-wave DFT calculation with PBE was carried out for a relaxed structure of Sm2ErBi.

a = 4.0819 Å, b = 4.0819 Å, c = 29.0545 Å
α = 90.00°, β = 90.00°, γ = 120.00°
Space group R-3m (No. 166, hexagonal axes)
Inequivalent atoms, fractional coordinates:
Sm 0.0000 0.0000 0.2377 [6 per cell]
Er 0.0000 0.0000 0.0000 [3 per cell]
Bi 0.0000 0.0000 0.5000 [3 per cell]

Energy of formation from the pure elements (eV/atom): -0.14

---

A plane-wave DFT calculation with PBE was carried out for a relaxed structure of CoCu2TePb.

a = 4.8940 Å, b = 4.8940 Å, c = 4.8795 Å
α = 90.00°, β = 90.00°, γ = 90.00°
Space group P4/mmm (No. 123)
Inequivalent atoms, fractional coordinates:
Co 0.0000 0.0000 0.0000 [1 per cell]
Cu 0.0000 0.5000 0.5000 [2 per cell]
Te 0.5000 0.5000 0.0000 [1 per cell]
Pb 0.0000 0.0000 0.5000 [1 per cell]

Uncorrected formation energy (eV per atom): 1.1220

---

A plane-wave DFT calculation with PBE was carried out for a relaxed structure of MgIrW2.

a = 4.7827 Å, b = 4.7827 Å, c = 2.7912 Å
α = 90.00°, β = 90.00°, γ = 90.00°
Space group P4/mmm (No. 123)
Inequivalent atoms, fractional coordinates:
Mg 0.0000 0.0000 0.0000 [1 per cell]
Ir 0.5000 0.5000 0.0000 [1 per cell]
W 0.0000 0.5000 0.5000 [2 per cell]

Energy of formation from the pure elements (eV/atom): 0.49

---

The V results, record by record, are as follows: 34.94, 23.37, 15.96 A^3/atom.
The M_tot results, record by record, are as follows: 0.9, 0.0, 0.0 μB/f.u..